P.
MgC | PBE | relaxed

Computed properties:
As for the space-group type: R-3m, No. 166. The total magnetization is 0.28 μB per cell. For the volume, the calculation gives 62 Å³/cell.

a b c (Å): 10.3399 10.3399 10.3399
angles (deg): 14.73 14.73 14.73
Closest atoms and distances in Å follow each position.
Sites, in units of the cell vectors:
Mg 0.1205 0.1205 0.1205  6 Mg 2.65
Mg 0.8795 0.8795 0.8795  6 Mg 2.65
C 0.6667 0.6667 0.6667  3 C 1.53
C 0.3333 0.3333 0.3333  3 C 1.53



Q.
MgC | PBE | relaxed

Computed properties:
As for the space-group type: Pnma, No. 62. The total magnetization is 0.00 μB per cell. For the volume, the calculation gives 197 Å³/cell.

a b c (Å): 5.7947 4.5776 7.4270
angles (deg): 90.00 90.00 90.00
Closest atoms and distances in Å follow each position.
Sites, in units of the cell vectors:
C 0.9781 0.0873 0.5819  2 C 1.48-1.49
C 0.0219 0.5873 0.4181  2 C 1.48-1.49
C 0.4781 0.4127 0.9181  2 C 1.48-1.49
C 0.9781 0.4127 0.5819  2 C 1.48-1.49
C 0.5219 0.5873 0.0819  2 C 1.48-1.49
C 0.4781 0.0873 0.9181  2 C 1.48-1.49
C 0.5219 0.9127 0.0819  2 C 1.48-1.49
C 0.0219 0.9127 0.4181  2 C 1.48-1.49
Mg 0.5523 0.2500 0.6298  2 C 2.31
Mg 0.2316 0.2500 0.2473  4 C 2.34-2.59
Mg 0.4477 0.7500 0.3702  2 C 2.31
Mg 0.7316 0.2500 0.2527  4 C 2.34-2.59
Mg 0.7684 0.7500 0.7527  4 C 2.34-2.59
Mg 0.9477 0.7500 0.1298  2 C 2.31
Mg 0.2684 0.7500 0.7473  4 C 2.34-2.59
Mg 0.0523 0.2500 0.8702  2 C 2.31



R.
MgC | PBE | relaxed

Computed properties:
As for the space-group type: P6_3/m, No. 176. The total magnetization is 0.00 μB per cell. For the volume, the calculation gives 159 Å³/cell.

a b c (Å): 8.3323 8.3323 2.6464
angles (deg): 90.00 90.00 120.00
Closest atoms and distances in Å follow each position.
Sites, in units of the cell vectors:
Mg 0.2002 0.4027 0.7500  6 C 2.29-2.55
Mg 0.5973 0.7975 0.7500  6 C 2.29-2.55
Mg 0.2025 0.7998 0.7500  6 C 2.29-2.55
Mg 0.7975 0.2002 0.2500  6 C 2.29-2.55
Mg 0.4027 0.2025 0.2500  6 C 2.29-2.55
Mg 0.7998 0.5973 0.2500  6 C 2.29-2.55
C 0.9522 0.4582 0.7500  2 C 1.52
C 0.4941 0.9522 0.2500  2 C 1.52
C 0.5418 0.4941 0.7500  2 C 1.52
C 0.5059 0.0478 0.7500  2 C 1.52
C 0.0478 0.5418 0.2500  2 C 1.52
C 0.4582 0.5059 0.2500  2 C 1.52



If you had to name the least stable structure above, which would it be? It would be R.